An optimized crystal structure of KSc2Pb, computed with PBE.

Computed properties:
DFT formation energy	0.1643	eV/atom
space-group type	Immm (71)

abc: 6.9400 6.9400 6.9400
angles: 151.36 129.80 58.82
Fractional positions:
Pb 0.2500 0.7500 0.5000
K 0.7500 0.2500 0.5000
Sc 0.4614 0.4614 0.0000
Sc 0.0386 0.0386 0.0000